A crystal of Mn3TeRu relaxed with PBEsol. Source: Alexandria, functional SCAN.

Results
Raw formation energy: 1.1976 eV per atom
Calculated volume: 20.83 A^3/atom
Theoretical density: 6.275 g/cm³
DOS at the Fermi energy: 3.57 states/eV per cell
Total DFT energy (no corrections): -120.85 eV for the cell shown

Lattice parameters (Å, degrees): 4.7047 4.7047 4.7047 90.00 90.00 90.00
With the nearest neighbours (Å) after each atom.
Space group Pm-3m (No. 221)
Inequivalent atoms, fractional coordinates:
Mn (0.0000, 0.0000, 0.5000) [3 per cell]  2 Te 2.35
Te (0.0000, 0.0000, 0.0000) [1 per cell]  6 Mn 2.35
Ru (0.5000, 0.5000, 0.5000) [1 per cell]  12 Mn 3.33